Crystalline Sr2TeRh at its relaxed geometry. Source: Alexandria via LeMat-Bulk, functional PBE.

Cell: 5.323 5.323 5.323 Å, 60.00 60.00 60.00°
Atoms (fractional coordinates):
Rh: 0.500 0.500 0.500
Sr: 0.000 0.000 0.000
Sr: 0.250 0.250 0.250
Te: 0.750 0.750 0.750

## Properties
As for the density of states at the Fermi level: 0.860 states/eV/atom. The value obtained for the total energy is -14.97 eV per cell.